Run i
Below is NbCoIO2 after structural relaxation, with properties calculated at the GGA+U level.

calculated density: 5.59 g cm⁻³
magnetization: 0.110 μB/atom

Cell lengths 3.9869, 3.9869, 5.8084 Å; angles 90.00, 90.00, 90.00 degrees
Element x y z (fractional)
Nb: 0.0000 0.0000 0.0000
Co: 0.5000 0.5000 0.0000
I: 0.0000 0.0000 0.5000
O: 0.0000 0.5000 0.5000
O: 0.5000 0.0000 0.5000

Run ii
Below is NbCoIO2 after structural relaxation, with properties calculated at the GGA+U level.

calculated density: 5.36 g cm⁻³
magnetization: 0.368 μB/atom

Cell lengths 3.9436, 3.9436, 6.1936 Å; angles 90.00, 90.00, 90.00 degrees
Element x y z (fractional)
Nb: 0.0000 0.0000 0.0000
Co: 0.5000 0.5000 0.5000
I: 0.0000 0.0000 0.5000
O: 0.0000 0.5000 0.0000
O: 0.5000 0.0000 0.0000

Winner for stability: run ii

Run i
Below is NbCoI2O after structural relaxation, with properties calculated at the GGA+U level.

calculated density: 6.46 g cm⁻³
magnetization: 1.130 μB/atom

Cell lengths 5.5218, 5.5218, 3.5574 Å; angles 90.00, 90.00, 90.00 degrees
Element x y z (fractional)
Nb: 0.0000 0.0000 0.0000
Co: 0.5000 0.5000 0.5000
I: 0.0000 0.5000 0.5000
I: 0.5000 0.0000 0.5000
O: 0.5000 0.5000 0.0000

Run ii
Below is NbCoI2O after structural relaxation, with properties calculated at the GGA+U level.

calculated density: 5.33 g cm⁻³
magnetization: 0.872 μB/atom

Cell lengths 5.7890, 5.7890, 3.9166 Å; angles 90.00, 90.00, 90.00 degrees
Element x y z (fractional)
Nb: 0.0000 0.0000 0.0000
Co: 0.5000 0.5000 0.5000
I: 0.0000 0.5000 0.0000
I: 0.5000 0.0000 0.0000
O: 0.0000 0.0000 0.5000

Winner for stability: run ii